The following is a GGA-PBE calculation of a relaxed VHgN3 crystal, from Alexandria.

Uncorrected energy ... -30.2 eV for the cell shown
Symmetry ... Pm-3m, No. 221

Cell and atoms, written as POSCAR:
```
VHgN3
1.0
3.922 0.000 0.000
0.000 3.922 0.000
0.000 0.000 3.922
V Hg N
1 1 3
Direct
0.000 0.000 0.000
0.500 0.500 0.500
0.000 0.000 0.500
0.000 0.500 0.000
0.500 0.000 0.000
```